[1]
# MnCo2IrO6, relaxed, DFT PBE with a Hubbard U
# Total energy: -6.65 eV/atom
# Density of states at the Fermi level: 0.33 states/eV per atom
data_MnCo2IrO6
_symmetry_space_group_name_H-M 'P 1'
_symmetry_Int_Tables_number 1
_cell_length_a 5.477
_cell_length_b 5.477
_cell_length_c 5.477
_cell_angle_alpha 55.60
_cell_angle_beta 55.60
_cell_angle_gamma 55.60
loop_
_symmetry_equiv_pos_as_xyz
'x,y,z'
loop_
_atom_site_label
_atom_site_type_symbol
_atom_site_fract_x
_atom_site_fract_y
_atom_site_fract_z
Mn1 Mn 0.000 0.000 0.000
Co1 Co 0.281 0.281 0.281
Co2 Co 0.800 0.800 0.800
Ir1 Ir 0.484 0.484 0.484
O1 O 0.073 0.695 0.419
O2 O 0.192 0.589 0.879
O3 O 0.419 0.073 0.695
O4 O 0.589 0.879 0.192
O5 O 0.695 0.419 0.073
O6 O 0.879 0.192 0.589

=====

[2]
# MnCoIrO6, relaxed, DFT PBE with a Hubbard U
# Total energy: -6.59 eV/atom
# Density of states at the Fermi level: 0.65 states/eV per atom
data_MnCoIrO6
_symmetry_space_group_name_H-M 'P 1'
_symmetry_Int_Tables_number 1
_cell_length_a 4.970
_cell_length_b 4.970
_cell_length_c 8.899
_cell_angle_alpha 90.00
_cell_angle_beta 90.00
_cell_angle_gamma 120.00
loop_
_symmetry_equiv_pos_as_xyz
'x,y,z'
loop_
_atom_site_label
_atom_site_type_symbol
_atom_site_fract_x
_atom_site_fract_y
_atom_site_fract_z
Mn1 Mn 0.000 0.000 0.000
Mn2 Mn 0.000 0.000 0.500
Co1 Co 0.333 0.667 0.250
Co2 Co 0.667 0.333 0.750
Ir1 Ir 0.333 0.667 0.750
Ir2 Ir 0.667 0.333 0.250
O1 O 0.005 0.358 0.131
O2 O 0.005 0.647 0.369
O3 O 0.353 0.358 0.369
O4 O 0.353 0.995 0.131
O5 O 0.358 0.005 0.631
O6 O 0.358 0.353 0.869
O7 O 0.642 0.647 0.131
O8 O 0.642 0.995 0.369
O9 O 0.647 0.005 0.869
O10 O 0.647 0.642 0.631
O11 O 0.995 0.353 0.631
O12 O 0.995 0.642 0.869

=====

Look up the density of states at the Fermi level of the first one. 0.33 states/eV per atom

=====

What is the density of states at the Fermi level in the first record? 0.33 states/eV per atom